Record 1
The following is a DFT calculation (GGA-PBE) of RbHf2BeGa after structural relaxation.

Summary:
Fermi-level density of states ... 3.20 states/eV/f.u.
VASP energy ... -14.65 eV/cell
SG ... P4/mmm, No. 123
Total magnetization ... 0.00 μB/f.u.

abc: 5.0850 5.0850 5.1918
angles: 90.00 90.00 90.00
Sites, in units of the cell vectors:
Rb 0.0000 0.0000 0.0000
Hf 0.0000 0.5000 0.0000
Hf 0.5000 0.0000 0.0000
Be 0.5000 0.5000 0.5000
Ga 0.0000 0.0000 0.5000

=====

Record 2
The following is a DFT calculation (GGA-PBE) of Hf2Be2GaRh5 after structural relaxation.

Summary:
Fermi-level density of states ... 4.27 states/eV/f.u.
VASP energy ... -151.89 eV/cell
SG ... P4/mbm, No. 127
Total magnetization ... 0.00 μB/f.u.

abc: 9.3093 9.3093 3.2250
angles: 90.00 90.00 90.00
Sites, in units of the cell vectors:
Hf 0.1753 0.3247 0.0000
Hf 0.3247 0.8247 0.0000
Hf 0.6753 0.1753 0.0000
Hf 0.8247 0.6753 0.0000
Be 0.1225 0.6225 0.0000
Be 0.3775 0.1225 0.0000
Be 0.6225 0.8775 0.0000
Be 0.8775 0.3775 0.0000
Ga 0.0000 0.0000 0.0000
Ga 0.5000 0.5000 0.0000
Rh 0.0000 0.5000 0.5000
Rh 0.0707 0.7900 0.5000
Rh 0.2100 0.0707 0.5000
Rh 0.2900 0.5707 0.5000
Rh 0.4293 0.2900 0.5000
Rh 0.5000 0.0000 0.5000
Rh 0.5707 0.7100 0.5000
Rh 0.7100 0.4293 0.5000
Rh 0.7900 0.9293 0.5000
Rh 0.9293 0.2100 0.5000

=====

Record 3
The following is a DFT calculation (GGA-PBE) of Hf2Be2GaRu5 after structural relaxation.

Summary:
Fermi-level density of states ... 13.68 states/eV/f.u.
VASP energy ... -163.30 eV/cell
SG ... P4/mbm, No. 127
Total magnetization ... 0.00 μB/f.u.

abc: 9.3612 9.3612 3.1902
angles: 90.00 90.00 90.00
Sites, in units of the cell vectors:
Hf 0.1739 0.3261 0.0000
Hf 0.3261 0.8261 0.0000
Hf 0.6739 0.1739 0.0000
Hf 0.8261 0.6739 0.0000
Be 0.1248 0.6248 0.0000
Be 0.3752 0.1248 0.0000
Be 0.6248 0.8752 0.0000
Be 0.8752 0.3752 0.0000
Ga 0.0000 0.0000 0.0000
Ga 0.5000 0.5000 0.0000
Ru 0.0000 0.5000 0.5000
Ru 0.0713 0.7922 0.5000
Ru 0.2078 0.0713 0.5000
Ru 0.2922 0.5713 0.5000
Ru 0.4287 0.2922 0.5000
Ru 0.5000 0.0000 0.5000
Ru 0.5713 0.7078 0.5000
Ru 0.7078 0.4287 0.5000
Ru 0.7922 0.9287 0.5000
Ru 0.9287 0.2078 0.5000

=====

Record 4
The following is a DFT calculation (GGA-PBE) of HfTaBe2Ga after structural relaxation.

Summary:
Fermi-level density of states ... 2.27 states/eV/f.u.
VASP energy ... -28.75 eV/cell
SG ... P4/mmm, No. 123
Total magnetization ... 0.00 μB/f.u.

abc: 4.1699 4.1699 4.8671
angles: 90.00 90.00 90.00
Sites, in units of the cell vectors:
Hf 0.0000 0.0000 0.0000
Ta 0.5000 0.5000 0.0000
Be 0.0000 0.5000 0.5000
Be 0.5000 0.0000 0.5000
Ga 0.5000 0.5000 0.5000

=====

no.,ΔH_f (0 K) (meV per atom)
1,2595
2,-880
3,-488
4,707